Entry 1:
The following is a GGA-PBE calculation of TiTlF3 after structural relaxation, from Alexandria via LeMat-Bulk.

Electronic total energy: -21.22 eV per cell
N(E_F): 4.03 states/eV/cell
Calculated density: 4.98 g cm⁻³
M_tot: 2.4 μB per cell
Volume: 103 Å³/cell

a b c (Å): 4.690 4.690 4.690
angles (deg): 90.00 90.00 90.00
Last column: magnetic moment on the atom in μB.
Fractional positions:
Tl  0.000  0.000  0.000  0.05
F  0.000  0.000  0.500  0.00
F  0.500  0.000  0.000  0.01
F  0.000  0.500  0.000  0.00
Ti  0.500  0.500  0.500  -2.12



Entry 2:
The following is a GGA-PBE calculation of ThNbSn after structural relaxation, from Alexandria via LeMat-Bulk.

Electronic total energy: -21.27 eV per cell
Energy of formation from the pure elements: 0.076 eV per atom
N(E_F): 4.81 states/eV/cell
Calculated density: 9.68 g cm⁻³
M_tot: 1.0 μB per cell
Volume: 76 Å³/cell

a b c (Å): 3.423 5.067 5.067
angles (deg): 120.00 90.00 90.00
Last column: magnetic moment on the atom in μB.
Fractional positions:
Sn  0.167  0.000  0.000  0.01
Nb  0.167  0.333  0.667  0.57
Th  0.667  0.667  0.333  0.15